Compound: Cs2NaTlH
Source: the Alexandria database
Functional: PBE
Structure: relaxed Values from VASP.

Structure (Quantum ESPRESSO input):
```
&SYSTEM
  ibrav = 0, nat = 5, ntyp = 4
/
ATOMIC_SPECIES
Cs 132.91 Cs.upf
Na 22.99 Na.upf
Tl 204.38 Tl.upf
H 1.01 H.upf
CELL_PARAMETERS angstrom
6.1634 0.0000 0.0000
0.0000 6.1634 0.0000
0.0000 0.0000 5.5594
ATOMIC_POSITIONS angstrom
Cs 0.0000 3.0817 0.0000
Cs 3.0817 0.0000 0.0000
Na 0.0000 0.0000 2.7797
Tl 3.0817 3.0817 2.7797
H 3.0817 3.0817 0.0000
```

Energy above the lowest structure with this stoichiometry   23 meV/atom
Raw total energy   -8.480 eV per cell
Spin magnetization   0.415 Bohr magnetons per cell
Symmetry   P4/mmm (123)